[1]
This record from Alexandria via LeMat-Bulk describes Ca10Al6Ge9 after structural relaxation. The functional is PBEsol.

Cell and atoms, written as extended XYZ:
```
50
Lattice="6.887 3.976 6.936 -6.887 3.976 6.936 0.000 -7.953 6.936" Properties=species:S:1:pos:R:3 pbc="T T T"
Ca 0.000 0.000 0.000
Ca -2.014 -4.464 6.936
Ca -4.873 0.488 6.936
Ca 0.000 -2.307 5.290
Ca -1.998 1.153 5.290
Ca -2.028 -3.513 10.404
Ca -4.057 0.000 10.404
Ca 2.014 -4.464 6.936
Ca -2.859 3.976 6.936
Ca 1.998 1.153 5.290
Ca 2.028 -3.513 10.404
Ca 0.000 0.000 10.404
Ca -2.028 3.513 10.404
Ca -1.998 -1.153 15.519
Ca 4.873 0.488 6.936
Ca 2.859 3.976 6.936
Ca 4.057 0.000 10.404
Ca 2.028 3.513 10.404
Ca 1.998 -1.153 15.519
Ca 0.000 2.307 15.519
Al -5.396 -3.116 10.891
Al -1.972 -1.139 7.793
Al 0.000 -6.231 9.918
Al -5.396 3.116 9.918
Al 1.972 -1.139 7.793
Al 0.000 2.277 7.793
Al 0.000 -2.277 13.016
Al -1.972 1.139 13.016
Al 5.396 -3.116 10.891
Al 0.000 6.231 10.891
Al 1.972 1.139 13.016
Al 5.396 3.116 9.918
Ge 0.000 -5.334 4.929
Ge -4.106 -2.371 8.539
Ge -4.619 2.667 4.929
Ge 0.000 -2.575 8.400
Ge -2.230 1.288 8.400
Ge -4.619 -2.667 15.880
Ge -2.230 -1.288 12.409
Ge 0.000 -4.742 12.270
Ge -4.106 2.371 12.270
Ge 4.106 -2.371 8.539
Ge 0.000 4.742 8.539
Ge 2.230 1.288 8.400
Ge 4.619 2.667 4.929
Ge 2.230 -1.288 12.409
Ge 0.000 2.575 12.409
Ge 4.619 -2.667 15.880
Ge 4.106 2.371 12.270
Ge 0.000 5.334 15.880
```

Calculated values
* formation energy: -0.571 eV/atom
* space-group type: R-3m

[2]
This record from Alexandria via LeMat-Bulk describes Ca3Al2Ge2 after structural relaxation. The functional is PBEsol.

Cell and atoms, written as extended XYZ:
```
14
Lattice="4.083 0.000 0.000 0.000 4.486 0.000 0.000 0.000 18.473" Properties=species:S:1:pos:R:3 pbc="T T T"
Ca 0.000 0.000 0.000
Ca 0.000 2.243 5.794
Ca 0.000 2.243 12.679
Ca 2.042 0.000 3.442
Ca 2.042 0.000 15.031
Ca 2.042 2.243 9.237
Al 0.000 0.000 7.977
Al 0.000 0.000 10.497
Al 2.042 2.243 1.260
Al 2.042 2.243 17.213
Ge 0.000 2.243 2.700
Ge 0.000 2.243 15.773
Ge 2.042 0.000 6.536
Ge 2.042 0.000 11.937
```

Calculated values
* formation energy: -0.536 eV/atom
* space-group type: Immm

[3]
This record from Alexandria via LeMat-Bulk describes CaAl2Ge2 after structural relaxation. The functional is PBEsol.

Cell and atoms, written as extended XYZ:
```
5
Lattice="4.163 0.000 0.000 -2.082 3.605 0.000 0.000 0.000 7.032" Properties=species:S:1:pos:R:3 pbc="T T T"
Ca 0.000 0.000 0.000
Al 0.000 2.404 4.428
Al 2.082 1.202 2.604
Ge 0.000 2.404 1.808
Ge 2.082 1.202 5.224
```

Calculated values
* formation energy: -0.409 eV/atom
* space-group type: P-3m1

[4]
This record from Alexandria via LeMat-Bulk describes CaAlGeP2 after structural relaxation. The functional is PBEsol.

Cell and atoms, written as extended XYZ:
```
5
Lattice="4.742 0.000 0.000 0.000 4.742 0.000 0.000 0.000 4.736" Properties=species:S:1:pos:R:3 pbc="T T T"
Ca 0.000 0.000 0.000
Al 2.371 2.371 2.368
Ge 2.371 2.371 0.000
P 0.000 2.371 2.368
P 2.371 0.000 2.368
```

Calculated values
* formation energy: 0.054 eV/atom
* space-group type: P4/mmm

[5]
This record from Alexandria via LeMat-Bulk describes CaAlH5 after structural relaxation. The functional is PBEsol.

Cell and atoms, written as extended XYZ:
```
56
Lattice="8.517 0.000 0.000 0.000 6.267 0.000 -0.176 0.000 10.999" Properties=species:S:1:pos:R:3 pbc="T T T"
Ca 1.481 1.562 3.327
Ca 1.393 1.571 8.827
Ca 2.442 4.695 1.108
Ca 2.354 4.706 6.608
Ca 5.987 1.561 4.391
Ca 5.899 1.573 9.891
Ca 6.948 4.696 2.172
Ca 6.860 4.705 7.672
Al 0.977 4.697 3.781
Al 0.889 4.704 9.281
Al 4.046 1.567 1.852
Al 3.958 1.567 7.351
Al 4.383 4.700 3.648
Al 4.295 4.701 9.147
Al 7.452 1.564 1.718
Al 7.364 1.570 7.218
H 0.559 1.564 1.349
H 0.471 1.569 6.849
H 0.893 3.584 2.430
H 0.805 5.817 7.930
H 0.808 3.592 7.928
H 0.896 5.809 2.428
H 1.395 3.433 10.345
H 1.483 5.968 4.845
H 1.487 3.431 4.848
H 1.399 5.970 10.347
H 2.732 4.697 3.226
H 2.644 4.704 8.725
H 2.869 0.396 1.855
H 2.774 0.404 7.370
H 2.862 2.730 1.870
H 2.781 2.737 7.355
H 3.839 1.555 3.604
H 3.751 1.579 9.103
H 3.941 4.685 10.742
H 4.029 4.716 5.243
H 4.311 1.552 5.756
H 4.399 1.582 0.257
H 4.589 4.689 1.896
H 4.501 4.712 7.395
H 5.560 3.530 3.644
H 5.479 3.537 9.129
H 5.567 5.864 3.629
H 5.472 5.871 9.144
H 5.697 1.563 2.274
H 5.609 1.571 7.773
H 6.942 0.297 0.652
H 6.854 2.837 6.151
H 6.857 0.300 6.154
H 6.945 2.834 0.654
H 7.445 0.458 8.571
H 7.533 2.676 3.071
H 7.535 0.450 3.069
H 7.447 2.684 8.569
H 7.870 4.698 4.150
H 7.782 4.703 9.650
```

Calculated values
* electronic total energy: -3.4711 eV per atom
* space-group type: P2_1/c

[6]
This record from Alexandria via LeMat-Bulk describes CaAlH5 after structural relaxation. The functional is PBEsol.

Cell and atoms, written as extended XYZ:
```
28
Lattice="4.205 0.000 0.000 0.000 4.852 0.000 0.000 0.000 11.942" Properties=species:S:1:pos:R:3 pbc="T T T"
Ca 0.853 0.664 4.045
Ca 1.249 4.188 10.016
Ca 2.956 1.762 7.897
Ca 3.351 3.090 1.926
Al 0.798 0.587 1.012
Al 1.304 4.265 6.983
Al 2.900 1.839 10.930
Al 3.407 3.013 4.959
H 0.039 1.892 0.084
H 0.056 4.243 0.072
H 0.583 3.048 3.892
H 0.710 0.588 8.082
H 0.746 2.980 7.974
H 1.356 1.872 2.003
H 1.393 4.264 2.110
H 1.520 1.804 9.863
H 2.047 0.609 6.043
H 2.064 2.960 6.055
H 2.141 0.534 11.858
H 2.158 3.035 11.870
H 2.685 4.230 8.050
H 2.812 1.838 3.861
H 2.848 4.298 3.968
H 3.459 0.554 9.939
H 3.495 3.014 9.832
H 3.622 0.622 2.079
H 4.149 1.817 5.899
H 4.166 4.318 5.887
```

Calculated values
* electronic total energy: -3.5446 eV per atom
* space-group type: P2_12_12_1

[7]
This record from Alexandria via LeMat-Bulk describes Ca2MnAl2Si3HO13 after structural relaxation. The functional is PBEsol.

Cell and atoms, written as extended XYZ:
```
44
Lattice="8.837 0.000 0.000 0.000 5.705 0.000 -4.345 0.000 9.104" Properties=species:S:1:pos:R:3 pbc="T T T"
Ca -0.986 1.426 3.919
Ca 1.552 1.426 1.364
Ca 2.940 4.278 7.740
Ca 5.477 4.278 5.185
Mn -1.564 1.426 7.063
Mn 6.055 4.278 2.041
Al 4.418 0.000 0.000
Al 2.246 0.000 4.552
Al 4.418 2.852 0.000
Al 2.246 2.852 4.552
Si -2.727 4.278 8.679
Si 0.418 4.278 2.489
Si -0.187 4.278 6.199
Si 4.678 1.426 2.904
Si 4.074 1.426 6.614
Si 7.218 1.426 0.425
H 0.952 1.426 6.145
H 3.540 4.278 2.958
O -0.706 1.426 1.718
O -1.145 4.278 2.900
O 0.543 4.278 0.841
O -1.102 2.970 5.848
O -1.102 5.587 5.848
O -1.813 2.902 8.817
O -1.813 5.655 8.817
O 1.161 2.942 3.046
O 1.161 5.615 3.046
O 1.171 1.426 5.177
O 1.248 4.278 5.383
O 0.124 1.426 7.871
O 0.311 4.278 7.800
O 4.181 1.426 1.304
O 4.367 4.278 1.233
O 3.244 1.426 3.720
O 3.320 4.278 3.927
O 3.330 0.089 6.057
O 3.330 2.763 6.057
O 6.305 0.049 0.286
O 6.305 2.803 0.286
O 5.593 0.118 3.255
O 5.593 2.734 3.255
O 3.948 1.426 8.263
O 5.637 1.426 6.203
O 5.197 4.278 7.385
```

Calculated values
* electronic total energy: -7.7865 eV per atom
* space-group type: P2_1/m

[8]
This record from Alexandria via LeMat-Bulk describes Ca3Al2H12O12 after structural relaxation. The functional is PBEsol.

Cell and atoms, written as extended XYZ:
```
116
Lattice="-6.236 6.236 6.236 6.236 -6.236 6.236 6.236 6.236 -6.236" Properties=species:S:1:pos:R:3 pbc="T T T"
Ca 3.118 1.559 0.000
Ca 6.236 3.118 -1.559
Ca 1.559 0.000 3.118
Ca 7.795 0.000 3.118
Ca 0.000 3.118 1.559
Ca 3.118 -1.559 6.236
Ca 3.118 7.795 0.000
Ca 6.236 3.118 4.677
Ca -1.559 6.236 3.118
Ca 4.677 6.236 3.118
Ca 0.000 3.118 7.795
Ca 3.118 4.677 6.236
Al 0.000 0.000 0.000
Al 3.118 3.118 -3.118
Al 3.118 -3.118 3.118
Al 6.236 0.000 0.000
Al -3.118 3.118 3.118
Al 0.000 6.236 0.000
Al 0.000 0.000 6.236
Al 3.118 3.118 3.118
H 5.139 -3.771 4.408
H 10.452 1.290 -0.652
H 8.702 1.828 -1.098
H 6.889 -4.216 4.946
H 4.408 5.139 -3.771
H 4.946 -0.652 2.020
H 8.257 1.290 0.652
H 7.334 -2.466 4.408
H 4.946 6.889 -4.216
H 4.408 -1.098 3.771
H 5.584 -2.020 4.946
H 10.007 1.828 1.098
H 3.771 4.408 -1.098
H 5.584 2.020 1.290
H 4.946 5.584 -2.020
H 4.408 1.098 2.466
H 2.020 4.946 -0.652
H 7.334 2.466 1.828
H 4.408 7.334 -2.466
H 4.946 0.652 4.216
H 2.466 4.408 1.098
H 6.889 4.216 1.290
H 4.216 4.946 0.652
H 5.139 3.771 1.828
H 1.098 2.466 4.408
H 2.020 1.290 5.584
H -0.652 2.020 4.946
H 3.771 1.828 5.139
H 1.290 5.584 2.020
H 1.828 -1.098 8.702
H -1.098 3.771 4.408
H 4.216 1.290 6.889
H 1.828 5.139 3.771
H 1.290 0.652 8.257
H 0.652 4.216 4.946
H 2.466 1.828 7.334
H -3.771 4.408 5.139
H 0.652 8.257 1.290
H 1.828 7.334 2.466
H 1.290 -0.652 10.452
H -1.098 8.702 1.828
H -2.020 4.946 5.584
H 1.290 6.889 4.216
H 1.828 1.098 10.007
H -0.652 10.452 1.290
H -2.466 4.408 7.334
H -4.216 4.946 6.889
H 1.098 10.007 1.828
O 1.760 -0.350 0.653
O 7.595 3.771 -3.469
O 7.996 0.350 0.653
O 7.595 -2.465 3.469
O 5.886 -0.653 1.760
O 9.705 -1.358 2.465
O 0.653 1.760 -0.350
O 8.702 2.768 -1.358
O 3.771 3.469 -1.358
O 5.583 1.760 0.350
O -0.350 0.653 1.760
O 3.469 -1.358 3.771
O 5.886 5.583 -1.760
O 3.469 1.358 2.465
O 3.771 -3.469 7.595
O 5.583 -1.760 5.886
O 2.465 3.469 1.358
O 6.889 4.477 0.350
O 3.469 7.595 -2.465
O 5.886 0.653 4.477
O 1.760 5.886 -0.653
O 7.595 2.465 2.768
O 1.358 2.465 3.469
O 1.760 0.350 5.583
O 4.477 5.886 0.653
O 4.878 3.771 2.768
O -1.358 3.771 3.469
O 4.477 0.350 6.889
O 0.350 5.583 1.760
O 2.768 -1.358 8.702
O -0.653 1.760 5.886
O 3.771 2.768 4.878
O 0.653 7.996 0.350
O 2.465 9.705 -1.358
O 2.768 4.878 3.771
O 0.350 0.653 7.996
O 2.768 7.595 2.465
O 6.587 5.583 4.477
O 0.653 4.477 5.886
O 2.465 2.768 7.595
O -2.465 3.469 7.595
O 5.583 4.477 6.587
O -3.469 7.595 3.771
O 0.350 6.889 4.477
O -1.358 8.702 2.768
O -1.760 5.886 5.583
O -1.358 2.465 9.705
O 4.477 6.587 5.583
```

Calculated values
* electronic total energy: -5.8730 eV per atom
* space-group type: Ia-3d

| no. | calculated density (g/cm3) |
| --- | --- |
| 1 | 3.54 |
| 2 | 3.14 |
| 3 | 3.77 |
| 4 | 3.14 |
| 5 | 1.63 |
| 6 | 1.97 |
| 7 | 3.49 |
| 8 | 2.59 |